(1)
This record from Alexandria describes an optimized crystal structure of SrY2Ru. The functional is GGA-PBE.

Results
Its space-group type is Immm, No. 71. For the energy above the most stable polymorph in this dataset, the calculation gives 133.3 meV per atom. For the formation energy, the calculation gives -0.02 eV/atom.

The structure in POSCAR format:
```
SrY2Ru
1.0
-1.8681 2.9834 5.3414
1.8681 -2.9834 5.3414
1.8681 2.9834 -5.3414
Sr Y Ru
1 2 1
direct
0.0000 0.0000 0.0000
0.3147 0.8147 0.5000
0.6853 0.1853 0.5000
0.5000 0.5000 0.0000
```

---

(2)
This record from Alexandria describes an optimized crystal structure of Ce2AgAs. The functional is GGA-PBE.

Results
Its space-group type is R-3m, No. 166. For the energy above the most stable polymorph in this dataset, the calculation gives 27.7 meV per atom. For the formation energy, the calculation gives -0.59 eV/atom.

The structure in POSCAR format:
```
Ce2AgAs
1.0
2.0843 1.2034 7.5374
-2.0843 1.2034 7.5374
0.0000 -2.4067 7.5374
Ce Ag As
2 1 1
direct
0.2421 0.2421 0.2421
0.7579 0.7579 0.7579
0.0000 0.0000 0.0000
0.5000 0.5000 0.5000
```

---

(3)
This record from Alexandria describes an optimized crystal structure of HfInAgTe3. The functional is GGA-PBE.

Results
Its space-group type is P2_1/m, No. 11. Its energy relative to the elements, uncorrected is -0.479 eV/atom.

The structure in POSCAR format:
```
HfInAgTe3
1.0
8.9601 0.0000 0.0000
0.0000 4.1676 0.0000
-3.2684 0.0000 9.6803
Hf In Ag Te
2 2 2 6
direct
0.1942 0.2500 0.1709
0.8058 0.7500 0.8291
0.2717 0.7500 0.7373
0.7283 0.2500 0.2627
0.4222 0.7500 0.3991
0.5778 0.2500 0.6009
0.0482 0.2500 0.8636
0.2343 0.2500 0.4582
0.3990 0.7500 0.1213
0.6010 0.2500 0.8787
0.7657 0.7500 0.5418
0.9518 0.7500 0.1364
```

---

(4)
This record from Alexandria describes an optimized crystal structure of DyHoCdAg. The functional is GGA-PBE.

Results
Its space-group type is F-43m, No. 216. For the energy above the most stable polymorph in this dataset, the calculation gives 11.0 meV per atom. For the formation energy, the calculation gives -0.31 eV/atom.

The structure in POSCAR format:
```
DyHoCdAg
1.0
0.0000 3.6815 3.6815
3.6815 0.0000 3.6815
3.6815 3.6815 0.0000
Dy Ho Cd Ag
1 1 1 1
direct
0.0000 0.0000 0.0000
0.5000 0.5000 0.5000
0.7500 0.7500 0.7500
0.2500 0.2500 0.2500
```

---

(5)
This record from Alexandria describes an optimized crystal structure of In2BiI5. The functional is GGA-PBE.

Results
Its space-group type is Cm, No. 8. Its energy relative to the elements, uncorrected is -0.403 eV/atom. For the energy above the most stable polymorph in this dataset, the calculation gives 21.2 meV per atom.

The structure in POSCAR format:
```
In2BiI5
1.0
6.0663 -6.0657 0.0000
6.0663 6.0657 0.0000
-6.0488 0.0000 6.3982
In Bi I
2 1 5
direct
0.2489 0.7511 0.0000
0.7511 0.2489 0.0000
0.0897 0.0897 0.6769
0.3787 0.8748 0.7522
0.3800 0.3800 0.7546
0.8671 0.8671 0.2280
0.8732 0.8732 0.7491
0.8748 0.3787 0.7522
```

---

(6)
This record from Alexandria describes an optimized crystal structure of MgInICl2. The functional is GGA-PBE.

Results
Its space-group type is P2_1/m, No. 11. Its energy relative to the elements, uncorrected is -1.200 eV/atom.

The structure in POSCAR format:
```
MgInICl2
1.0
8.2014 0.0000 0.0000
0.0000 5.2386 0.0000
-2.2727 0.0000 9.0119
Mg In I Cl
2 2 2 4
direct
0.0739 0.2500 0.1532
0.9261 0.7500 0.8468
0.2795 0.2500 0.6062
0.7205 0.7500 0.3938
0.4145 0.2500 0.2766
0.5855 0.7500 0.7234
0.0442 0.7500 0.1119
0.0676 0.7500 0.6565
0.9324 0.2500 0.3435
0.9558 0.2500 0.8881
```